Record 1
MnAgRu2 | SCAN | single point on PBEsol structure

Computed properties:
Total energy: -29.5209 eV per atom
N(E_F): 0.868 states/eV per atom
Formation energy: 1.2 eV/f.u.

abc: 2.6377 2.6377 7.6842
angles: 90.00 90.00 90.00
Last column: nearest neighbours and their distance in Å.
Space group P4/mmm (No. 123)
Inequivalent atoms, fractional coordinates:
1 Mn 0.0000 0.0000 0.0000  8 Ru 2.51, 4 Mn 2.64
2 Ag 0.0000 0.0000 0.5000  4 Ag 2.64, 8 Ru 2.85
3 Ru 0.5000 0.5000 0.2187  4 Mn 2.51, 4 Ru 2.64


Record 2
MnAgRu2 | SCAN | single point on PBEsol structure

Computed properties:
Total energy: -29.5725 eV per atom
N(E_F): 0.707 states/eV per atom
Formation energy: 1.0 eV/f.u.

abc: 8.9642 2.7016 4.6542
angles: 90.00 102.93 90.00
Last column: nearest neighbours and their distance in Å.
Space group C2/m (No. 12)
Inequivalent atoms, fractional coordinates:
1 Mn 0.0000 0.0000 0.0000  4 Ru 2.52, 4 Ag 2.69, 2 Mn 2.70
2 Ag 0.0000 0.5000 0.5000  6 Ru 2.68-2.79, 4 Mn 2.69, 2 Ag 2.70
3 Ru 0.2333 0.5000 0.2278  2 Mn 2.52, 4 Ru 2.59-2.70, 3 Ag 2.68-2.79


Record 3
MnAgRu2 | SCAN | single point on PBEsol structure

Computed properties:
Total energy: -29.5404 eV per atom
N(E_F): 0.770 states/eV per atom
Formation energy: 1.1 eV/f.u.

abc: 2.8138 4.4625 8.8978
angles: 90.00 90.00 90.00
Last column: nearest neighbours and their distance in Å.
Space group Cmmm (No. 65)
Inequivalent atoms, fractional coordinates:
1 Mn 0.0000 0.0000 0.0000  4 Ru 2.45, 4 Mn 2.64
2 Ag 0.0000 0.0000 0.5000  6 Ag 2.64-2.81, 4 Ru 2.82
3 Ru 0.0000 0.5000 0.2256  2 Mn 2.45, 4 Ru 2.64


ΔE to the lowest computed polymorph for the records above, in order: 63 43 55 kJ/mol of formula units